Record 1
{
  "formula": "Mg2OsPb2",
  "functional": "PBE-GGA",
  "state": "optimized geometry",
  "total_magnetization_mub_per_cell": 0.00,
  "dft_energy_ev_per_cell": -17.9,
  "e_form_ev_per_fu": 3.92,
  "dos_ef_per_ev_atom": 0.51,
  "crystal_system": "tetragonal",
  "lattice_angstrom": [[-5.4964, 5.0326, 5.8967], [-4.0811, 8.2951, 2.2006], [2.7212, -7.3179, -5.4177]],
  "species": ["Mg", "Mg", "Os", "Pb", "Pb"],
  "fractional_positions": [[0.2500, 0.7500, 0.5000], [0.7500, 0.2500, 0.5000], [0.0000, 0.0000, 0.0000], [0.5886, 0.5886, 0.0000], [0.4114, 0.4114, 0.0000]]
}

=====

Record 2
{
  "formula": "AcAl4Cu4",
  "functional": "PBE-GGA",
  "state": "optimized geometry",
  "total_magnetization_mub_per_cell": 0.00,
  "dft_energy_ev_per_cell": -76.5,
  "e_form_ev_per_fu": -2.77,
  "dos_ef_per_ev_atom": 0.44,
  "crystal_system": "tetragonal",
  "lattice_angstrom": [[6.0637, 0.0000, 0.0000], [0.0000, 6.0637, 0.0000], [0.0000, 0.0000, 8.4845]],
  "species": ["Ac", "Ac", "Al", "Al", "Al", "Al", "Al", "Al", "Al", "Al", "Cu", "Cu", "Cu", "Cu", "Cu", "Cu", "Cu", "Cu"],
  "fractional_positions": [[0.0000, 0.0000, 0.0000], [0.5000, 0.5000, 0.5000], [0.2405, 0.5000, 0.8869], [0.7595, 0.5000, 0.8869], [0.5000, 0.7595, 0.1131], [0.5000, 0.2405, 0.1131], [0.0000, 0.7405, 0.3869], [0.0000, 0.2595, 0.3869], [0.2595, 0.0000, 0.6131], [0.7405, 0.0000, 0.6131], [0.5000, 0.8004, 0.8182], [0.5000, 0.1996, 0.8182], [0.8004, 0.5000, 0.1818], [0.1996, 0.5000, 0.1818], [0.3004, 0.0000, 0.3182], [0.6996, 0.0000, 0.3182], [0.0000, 0.3004, 0.6818], [0.0000, 0.6996, 0.6818]]
}